(1)
A plane-wave DFT calculation with GGA-PBE was carried out for a geometry-optimized B2C structure.

abc: 4.226 4.226 8.728
angles: 76.83 76.83 37.94
Fractional coordinates of all 12 atoms:
B: 0.900 0.900 0.210
B: 0.098 0.098 0.335
B: 0.123 0.123 0.122
B: 0.321 0.321 0.009
B: 0.679 0.679 0.991
B: 0.877 0.877 0.878
B: 0.902 0.902 0.665
B: 0.100 0.100 0.790
C: 0.303 0.303 0.206
C: 0.697 0.697 0.794
C: 0.546 0.546 0.421
C: 0.454 0.454 0.579

- theoretical density (Mg/m³) = 2.40
- energy relative to the lowest polymorph listed for this composition (meV/atom) = 81.6
- calculated volume (A^3/atom) = 7.75
- formation energy (meV/atom) = 267
- symmetry = No. 12



(2)
A plane-wave DFT calculation with GGA-PBE was carried out for a geometry-optimized Tm2Ag5Hg2 structure.

abc: 7.896 5.639 11.337
angles: 104.40 125.85 90.00
Fractional coordinates of all 18 atoms:
Tm: 0.000 0.037 0.000
Tm: 0.500 0.538 0.000
Tm: 0.235 0.325 0.575
Tm: 0.765 0.750 0.425
Ag: 0.089 0.676 0.766
Ag: 0.911 0.910 0.234
Ag: 0.089 0.164 0.766
Ag: 0.911 0.398 0.234
Ag: 0.345 0.969 0.343
Ag: 0.655 0.626 0.657
Ag: 0.344 0.449 0.343
Ag: 0.656 0.106 0.657
Ag: 0.225 0.791 0.507
Ag: 0.775 0.284 0.493
Hg: 0.223 0.578 0.081
Hg: 0.777 0.497 0.919
Hg: 0.503 0.115 0.154
Hg: 0.497 0.960 0.846

- theoretical density (Mg/m³) = 10.90
- calculated volume (A^3/atom) = 21.64
- formation energy (meV/atom) = -111
- symmetry = No. 12



(3)
A plane-wave DFT calculation with GGA-PBE was carried out for a geometry-optimized Nd2Dy2Y6Er structure.

abc: 6.667 6.667 12.064
angles: 101.52 101.52 129.64
Fractional coordinates of all 11 atoms:
Nd: 0.866 0.134 0.000
Nd: 0.134 0.866 0.000
Dy: 0.294 0.706 0.500
Dy: 0.706 0.294 0.500
Y: 0.702 0.702 0.703
Y: 0.136 0.442 0.789
Y: 0.298 0.298 0.297
Y: 0.442 0.136 0.789
Y: 0.864 0.558 0.211
Y: 0.558 0.864 0.211
Er: 0.000 0.000 0.500

- theoretical density (Mg/m³) = 5.99
- calculated volume (A^3/atom) = 33.14
- formation energy (meV/atom) = 143
- symmetry = No. 12



(4)
A plane-wave DFT calculation with GGA-PBE was carried out for a geometry-optimized Zn3BiP structure.

abc: 5.348 5.348 5.348
angles: 90.00 90.00 90.00
Fractional coordinates of all 5 atoms:
P: 0.500 0.500 0.500
Zn: 0.000 0.500 0.000
Zn: 0.000 0.000 0.500
Zn: 0.500 0.000 0.000
Bi: 0.000 0.000 0.000

- theoretical density (Mg/m³) = 4.73
- energy relative to the lowest polymorph listed for this composition (meV/atom) = 706.5
- calculated volume (A^3/atom) = 30.60
- formation energy (meV/atom) = 972
- symmetry = No. 221



(5)
A plane-wave DFT calculation with GGA-PBE was carried out for a geometry-optimized SiO structure.

abc: 4.880 4.880 4.880
angles: 90.00 90.00 90.00
Fractional coordinates of all 8 atoms:
Si: 0.000 0.000 0.000
Si: 0.000 0.500 0.500
Si: 0.500 0.000 0.500
Si: 0.500 0.500 0.000
O: 0.250 0.250 0.250
O: 0.250 0.750 0.750
O: 0.750 0.250 0.750
O: 0.750 0.750 0.250

- uncorrected formation energy (eV per atom) = -0.32
- theoretical density (Mg/m³) = 2.52
- calculated volume (A^3/atom) = 14.52
- symmetry = No. 216



(6)
A plane-wave DFT calculation with GGA-PBE was carried out for a geometry-optimized Sc5Ga2As structure.

abc: 7.256 7.256 8.043
angles: 116.81 116.81 90.00
Fractional coordinates of all 16 atoms:
Sc: 0.512 0.688 0.700
Sc: 0.812 0.988 0.300
Sc: 0.000 0.000 0.000
Sc: 0.500 0.500 0.000
Sc: 0.188 0.012 0.700
Sc: 0.688 0.188 0.700
Sc: 0.012 0.512 0.700
Sc: 0.312 0.812 0.300
Sc: 0.988 0.488 0.300
Sc: 0.488 0.312 0.300
Ga: 0.133 0.367 0.000
Ga: 0.633 0.133 0.000
Ga: 0.367 0.867 0.000
Ga: 0.867 0.633 0.000
As: 0.750 0.750 0.500
As: 0.250 0.250 0.500

- theoretical density (Mg/m³) = 4.47
- calculated volume (A^3/atom) = 20.38
- formation energy (meV/atom) = -682
- symmetry = No. 140



What did the sixth record say?
A plane-wave DFT calculation with GGA-PBE was carried out for a geometry-optimized Sc5Ga2As structure.

abc: 7.256 7.256 8.043
angles: 116.81 116.81 90.00
Fractional coordinates of all 16 atoms:
Sc: 0.512 0.688 0.700
Sc: 0.812 0.988 0.300
Sc: 0.000 0.000 0.000
Sc: 0.500 0.500 0.000
Sc: 0.188 0.012 0.700
Sc: 0.688 0.188 0.700
Sc: 0.012 0.512 0.700
Sc: 0.312 0.812 0.300
Sc: 0.988 0.488 0.300
Sc: 0.488 0.312 0.300
Ga: 0.133 0.367 0.000
Ga: 0.633 0.133 0.000
Ga: 0.367 0.867 0.000
Ga: 0.867 0.633 0.000
As: 0.750 0.750 0.500
As: 0.250 0.250 0.500

- theoretical density (Mg/m³) = 4.47
- calculated volume (A^3/atom) = 20.38
- formation energy (meV/atom) = -682
- symmetry = No. 140